AcLaSnPb after structural relaxation, computed with PBE.

ΔE_f   -532 meV/atom
Mass density   8.5 g cm⁻³

Structure (CIF):
```
data_AcLaSnPb
_cell_length_a 5.7540
_cell_length_b 5.7540
_cell_length_c 5.7540
_cell_angle_alpha 60.00
_cell_angle_beta 60.00
_cell_angle_gamma 60.00
_symmetry_space_group_name_H-M 'P 1'
_symmetry_Int_Tables_number 1
_symmetry_space_group_name_Hall 'P 1'
loop_
_atom_site_label
_atom_site_fract_x
_atom_site_fract_y
_atom_site_fract_z
_atom_site_occupancy
Ac1 0.0000 0.0000 0.0000 1
La1 0.5000 0.5000 0.5000 1
Sn1 0.7500 0.7500 0.7500 1
Pb1 0.2500 0.2500 0.2500 1
```